Entry 1:
Density functional theory data (GGA-PBE) for crystalline AcGa2Au at its relaxed geometry.

## Properties
- Spin magnetization: 0.00 μB/f.u.
- Energy relative to the elements: -363 meV per atom
- Energy relative to the lowest polymorph listed for this composition: 0.288 eV/atom

Lattice parameters (Å, degrees): 5.0926 5.0926 5.0926 60.00 60.00 60.00
Last column: nearest neighbours and their distance in Å.
Fractional coordinates of all 4 atoms:
1 Ac 0.0000 0.0000 0.0000  8 Ga 3.12
2 Au 0.5000 0.5000 0.5000  8 Ga 3.12
3 Ga 0.2500 0.2500 0.2500  4 Ac 3.12, 4 Au 3.12
4 Ga 0.7500 0.7500 0.7500  4 Au 3.12, 4 Ac 3.12

=====

Entry 2:
Density functional theory data (GGA-PBE) for crystalline Ac4Ga5Au2 at its relaxed geometry.

## Properties
- Spin magnetization: 0.00 μB/f.u.
- Energy relative to the elements: -533 meV per atom

Lattice parameters (Å, degrees): 4.4221 7.3229 9.4429 93.59 90.00 90.00
Last column: nearest neighbours and their distance in Å.
Fractional coordinates of all 11 atoms:
1 Ac 0.5000 0.7431 0.5764  4 Au 3.33-3.36, 6 Ga 3.34-3.68
2 Ac 0.5000 0.1972 0.8819  2 Au 3.23, 6 Ga 3.28-3.40
3 Ac 0.5000 0.2569 0.4236  4 Au 3.33-3.36, 6 Ga 3.34-3.68
4 Ac 0.5000 0.8028 0.1181  2 Au 3.23, 6 Ga 3.28-3.40
5 Ga 0.0000 0.5461 0.2945  2 Ga 2.76-2.78, 1 Au 2.78
6 Ga 0.0000 0.2031 0.1557  2 Ga 2.70-2.76, 1 Au 2.88
7 Ga 0.0000 0.5000 0.0000  4 Ga 2.70-2.78
8 Ga 0.0000 0.7969 0.8443  2 Ga 2.70-2.76, 1 Au 2.88
9 Ga 0.0000 0.4539 0.7055  2 Ga 2.76-2.78, 1 Au 2.78
10 Au 0.0000 0.0782 0.6437  2 Ga 2.78-2.88, 1 Au 2.88
11 Au 0.0000 0.9218 0.3563  2 Ga 2.78-2.88, 1 Au 2.88

=====

Entry 3:
Density functional theory data (GGA-PBE) for crystalline Ac3Ga4Au4 at its relaxed geometry.

## Properties
- Spin magnetization: 0.00 μB/f.u.
- Energy relative to the elements: -720 meV per atom
- Energy relative to the lowest polymorph listed for this composition: 0.000 eV/atom

Lattice parameters (Å, degrees): 4.5295 4.4012 14.0360 99.02 99.29 90.00
Last column: nearest neighbours and their distance in Å.
Fractional coordinates of all 11 atoms:
1 Ac 0.3495 0.8495 0.6991  6 Au 3.39-3.47, 8 Ga 3.45-3.55
2 Ac 0.6505 0.1505 0.3009  6 Au 3.39-3.47, 8 Ga 3.45-3.55
3 Ac 0.0000 0.0000 0.0000  8 Au 3.47, 4 Ga 3.50
4 Ga 0.2504 0.2504 0.5008  4 Au 2.67-2.71
5 Ga 0.0996 0.5996 0.1992  3 Au 2.61-2.62
6 Ga 0.9004 0.4004 0.8008  3 Au 2.61-2.62
7 Ga 0.7496 0.7496 0.4992  4 Au 2.67-2.71
8 Au 0.8048 0.3048 0.6096  5 Ga 2.62-2.71
9 Au 0.4477 0.4477 0.8955  2 Ga 2.61, 1 Au 2.86
10 Au 0.5523 0.5523 0.1045  2 Ga 2.61, 1 Au 2.86
11 Au 0.1952 0.6952 0.3904  5 Ga 2.62-2.71

=====

Entry 4:
Density functional theory data (GGA-PBE) for crystalline Ac6Ga3Au at its relaxed geometry.

## Properties
- Spin magnetization: 0.00 μB/f.u.
- Energy relative to the elements: -337 meV per atom

Lattice parameters (Å, degrees): 7.3483 9.0288 10.9695 90.00 89.99 90.00
Last column: nearest neighbours and their distance in Å.
Fractional coordinates of all 20 atoms:
1 Ac 0.6426 0.1755 0.9367  1 Au 3.15, 3 Ga 3.19-3.50
2 Ac 0.6451 0.1759 0.5729  3 Ga 3.16-3.44, 1 Au 3.22
3 Ac 0.6735 0.4333 0.2506  1 Au 3.08, 3 Ga 3.09-3.36
4 Ac 0.3265 0.5667 0.7494  1 Au 3.08, 3 Ga 3.09-3.36
5 Ac 0.3549 0.8241 0.4271  3 Ga 3.16-3.44, 1 Au 3.22
6 Ac 0.3574 0.8245 0.0633  1 Au 3.15, 3 Ga 3.19-3.50
7 Ac 0.1426 0.3245 0.4367  1 Au 3.15, 3 Ga 3.19-3.50
8 Ac 0.1451 0.3241 0.0729  3 Ga 3.16-3.44, 1 Au 3.22
9 Ac 0.1735 0.0667 0.7506  1 Au 3.08, 3 Ga 3.09-3.36
10 Ac 0.8265 0.9333 0.2494  1 Au 3.08, 3 Ga 3.09-3.36
11 Ac 0.8549 0.6759 0.9271  3 Ga 3.16-3.44, 1 Au 3.22
12 Ac 0.8574 0.6755 0.5633  1 Au 3.15, 3 Ga 3.19-3.50
13 Ga 0.5656 0.8833 0.7486  6 Ac 3.32-3.50
14 Ga 0.5000 0.5000 0.0000  6 Ac 3.09-3.19
15 Ga 0.4344 0.1167 0.2514  6 Ac 3.32-3.50
16 Ga 0.0656 0.6167 0.2486  6 Ac 3.32-3.50
17 Ga 0.0000 0.0000 0.5000  6 Ac 3.09-3.19
18 Ga 0.9344 0.3833 0.7514  6 Ac 3.32-3.50
19 Au 0.5000 0.5000 0.5000  6 Ac 3.08-3.22
20 Au 0.0000 0.0000 0.0000  6 Ac 3.08-3.22